[1]
DFT (GGA-PBE) results for NbCrW2S after structural relaxation.

Properties
E_form (uncorrected)	2.30	eV per atom
E	-7.640	eV per atom

```
data_NbCrW2S
_cell_length_a 4.8426
_cell_length_b 4.8426
_cell_length_c 4.5118
_cell_angle_alpha 90.00
_cell_angle_beta 90.00
_cell_angle_gamma 90.00
_space_group_name_H-M_alt 'P 4/m m m'
_space_group_IT_number 123
_space_group_name_Hall '-P 4 2'
loop_
_atom_site_label
_atom_site_fract_x
_atom_site_fract_y
_atom_site_fract_z
_atom_site_occupancy
Nb1 0.0000 0.0000 0.0000 1
Cr1 0.5000 0.5000 0.5000 1
W1 0.0000 0.5000 0.0000 1
S1 0.0000 0.0000 0.5000 1
```

---

[2]
DFT (GGA-PBE) results for BaSi5 after structural relaxation.

Properties
E_form (uncorrected)	0.01	eV per atom
E	-4.828	eV per atom

```
data_BaSi5
_cell_length_a 12.0332
_cell_length_b 3.9972
_cell_length_c 6.0837
_cell_angle_alpha 90.00
_cell_angle_beta 92.56
_cell_angle_gamma 90.00
_space_group_name_H-M_alt 'C 1 m 1'
_space_group_IT_number 8
loop_
_space_group_symop_operation_xyz
'x,y,z'
'x,-y,z'
'x+1/2,y+1/2,z'
'x+1/2,-y+1/2,z'
loop_
_atom_site_label
_atom_site_fract_x
_atom_site_fract_y
_atom_site_fract_z
_atom_site_occupancy
Ba1 0.0000 0.0000 0.0000 1
Si1 0.1188 0.5000 0.4316 1
Si2 0.2182 0.5000 0.7838 1
Si3 0.2360 0.0000 0.3297 1
Si4 0.2788 0.0000 0.9597 1
Si5 0.3339 0.5000 0.4740 1
```

---

[3]
DFT (GGA-PBE) results for In2Hg2I after structural relaxation.

Properties
E_form (uncorrected)	-0.09	eV per atom
E	-1.616	eV per atom
polymorph energy (0 for the lowest one)	2.4	kJ per mole of atoms

```
data_In2Hg2I
_cell_length_a 4.3202
_cell_length_b 4.3202
_cell_length_c 10.2382
_cell_angle_alpha 90.00
_cell_angle_beta 90.00
_cell_angle_gamma 120.00
_space_group_name_H-M_alt 'P -3 m 1'
_space_group_IT_number 164
_space_group_name_Hall '-P 3 2"'
loop_
_atom_site_label
_atom_site_fract_x
_atom_site_fract_y
_atom_site_fract_z
_atom_site_occupancy
In1 0.3333 0.6667 0.2755 1
Hg1 0.3333 0.6667 0.9050 1
I1 0.0000 0.0000 0.5000 1
```

---

> E of number 1 (NbCrW2S)?

-7.640 eV per atom

---

What did the first record say?
DFT (GGA-PBE) results for NbCrW2S after structural relaxation.

Properties
E_form (uncorrected)	2.30	eV per atom
E	-7.640	eV per atom

```
data_NbCrW2S
_cell_length_a 4.8426
_cell_length_b 4.8426
_cell_length_c 4.5118
_cell_angle_alpha 90.00
_cell_angle_beta 90.00
_cell_angle_gamma 90.00
_space_group_name_H-M_alt 'P 4/m m m'
_space_group_IT_number 123
_space_group_name_Hall '-P 4 2'
loop_
_atom_site_label
_atom_site_fract_x
_atom_site_fract_y
_atom_site_fract_z
_atom_site_occupancy
Nb1 0.0000 0.0000 0.0000 1
Cr1 0.5000 0.5000 0.5000 1
W1 0.0000 0.5000 0.0000 1
S1 0.0000 0.0000 0.5000 1
```